## VInH (PBE-GGA)

Data for an optimized crystal structure of VInH.

- spin magnetization (μB/cell) = 0.00
- space-group type = I4mm (107)
- energy above the lowest structure with this stoichiometry (eV/atom) = 0.1833
- calculated total energy (eV per cell) = -14.60
- DOS(E_F) (states/eV per cell) = 0.8

Unit cell a=2.789 b=2.789 c=5.456 alpha=104.81 beta=104.81 gamma=90.00
Fractional coordinates of all 3 atoms:
H 0.266 0.266 0.533
In 0.005 0.005 0.010
V 0.729 0.729 0.457

***

## PmCu2Pd3 (PBE-GGA)

Data for an optimized crystal structure of PmCu2Pd3.

- spin magnetization (μB/cell) = 0.00
- formation enthalpy at 0 K (meV per atom) = -246
- space-group type = I4/mmm (139)
- energy above the lowest structure with this stoichiometry (eV/atom) = 0.2320
- calculated total energy (eV per cell) = -59.99
- DOS(E_F) (states/eV per cell) = 6.8

Unit cell a=3.945 b=3.945 c=14.287 alpha=97.94 beta=97.94 gamma=90.00
Fractional coordinates of all 12 atoms:
Pm 0.859 0.859 0.717
Pm 0.141 0.141 0.283
Cu 0.250 0.750 0.500
Cu 0.750 0.250 0.500
Cu 0.396 0.396 0.792
Cu 0.604 0.604 0.208
Pd 0.452 0.952 0.904
Pd 0.952 0.452 0.904
Pd 0.548 0.048 0.096
Pd 0.308 0.308 0.616
Pd 0.692 0.692 0.384
Pd 0.048 0.548 0.096

***

## K2GeP2 (PBE-GGA)

Data for an optimized crystal structure of K2GeP2.

- spin magnetization (μB/cell) = 0.00
- formation enthalpy at 0 K (meV per atom) = -158
- space-group type = P4/mbm (127)
- calculated total energy (eV per cell) = -36.85
- DOS(E_F) (states/eV per cell) = 4.9

Unit cell a=6.974 b=6.974 c=5.215 alpha=90.00 beta=90.00 gamma=90.00
Fractional coordinates of all 10 atoms:
P 0.390 0.890 0.000
P 0.890 0.610 0.000
P 0.610 0.110 0.000
P 0.110 0.390 0.000
Ge 0.000 0.000 0.000
Ge 0.500 0.500 0.000
K 0.185 0.685 0.500
K 0.685 0.815 0.500
K 0.815 0.315 0.500
K 0.315 0.185 0.500

***

## Sr2GdRuO6 (PBE-GGA)

Data for an optimized crystal structure of Sr2GdRuO6.

- formation energy without anion corrections (eV per atom) = -2.392
- spin magnetization (μB/cell) = 10.01
- space-group type = C2/m (12)
- energy above the lowest structure with this stoichiometry (eV/atom) = 0.0073
- calculated total energy (eV per cell) = -80.39
- DOS(E_F) (states/eV per cell) = 0.7

Unit cell a=5.829 b=5.829 c=5.925 alpha=60.54 beta=60.54 gamma=60.44
Last column: magnetic moment on the atom in μB.
Fractional coordinates of all 10 atoms:
Sr 0.246 0.246 0.268  0.01
Sr 0.754 0.754 0.732  0.01
Gd 0.000 0.000 0.000  6.93
Ru 0.500 0.500 0.500  2.00
O 0.270 0.270 0.818  0.12
O 0.730 0.730 0.182  0.12
O 0.687 0.214 0.319  0.11
O 0.786 0.313 0.681  0.11
O 0.313 0.786 0.681  0.11
O 0.214 0.687 0.319  0.11

***

## Pr2Pu3USe6 (PBE-GGA)

Data for an optimized crystal structure of Pr2Pu3USe6.

- formation energy without anion corrections (eV per atom) = -1.537
- spin magnetization (μB/cell) = 14.26
- space-group type = C2/m (12)
- calculated total energy (eV per cell) = -103.19
- DOS(E_F) (states/eV per cell) = 28.8

Unit cell a=4.130 b=8.419 c=9.369 alpha=104.00 beta=102.73 gamma=90.00
Last column: magnetic moment on the atom in μB.
Fractional coordinates of all 12 atoms:
Pr 0.837 0.674 0.674  0.01
Pr 0.163 0.326 0.326  0.01
Pu 0.500 0.500 0.000  -5.42
Pu 0.831 0.168 0.663  -5.40
Pu 0.169 0.832 0.337  -5.40
U 0.500 0.000 0.000  2.44
Se 0.334 0.927 0.668  0.04
Se 0.666 0.587 0.331  0.05
Se 0.666 0.073 0.332  0.04
Se 0.996 0.247 0.991  0.02
Se 0.004 0.753 0.009  0.02
Se 0.334 0.413 0.669  0.05

***

## TbSeF (PBE-GGA)

Data for an optimized crystal structure of TbSeF.

- formation energy without anion corrections (eV per atom) = -2.304
- spin magnetization (μB/cell) = 0.00
- space-group type = I4mm (107)
- calculated total energy (eV per cell) = -16.90
- DOS(E_F) (states/eV per cell) = 0.9

Unit cell a=3.506 b=3.506 c=5.221 alpha=109.62 beta=109.62 gamma=90.00
Fractional coordinates of all 3 atoms:
Tb 0.687 0.687 0.375
Se 0.012 0.012 0.025
F 0.300 0.300 0.600

***

## TbHoIrPb (PBE-GGA)

Data for an optimized crystal structure of TbHoIrPb.

- spin magnetization (μB/cell) = 0.00
- formation enthalpy at 0 K (meV per atom) = -479
- space-group type = F-43m (216)
- energy above the lowest structure with this stoichiometry (eV/atom) = 0.2019
- calculated total energy (eV per cell) = -23.69
- DOS(E_F) (states/eV per cell) = 3.7

Unit cell a=5.135 b=5.135 c=5.135 alpha=60.00 beta=60.00 gamma=60.00
Fractional coordinates of all 4 atoms:
Pb 0.000 0.000 0.000
Ir 0.500 0.500 0.500
Tb 0.250 0.250 0.250
Ho 0.750 0.750 0.750

***

## Ce3Ho3TmS8 (PBE-GGA)

Data for an optimized crystal structure of Ce3Ho3TmS8.

- formation energy without anion corrections (eV per atom) = -2.045
- spin magnetization (μB/cell) = 3.46
- space-group type = R-3m (166)
- calculated total energy (eV per cell) = -99.70
- DOS(E_F) (states/eV per cell) = 18.6

Unit cell a=7.844 b=7.844 c=7.954 alpha=119.54 beta=90.00 gamma=120.00
Last column: magnetic moment on the atom in μB.
Fractional coordinates of all 15 atoms:
Ce 0.000 0.000 0.000  0.87
Ce 0.000 0.500 0.000  0.87
Ce 0.500 0.500 0.000  0.87
Ho 0.500 0.000 0.500  0.03
Ho 0.500 0.500 0.500  0.03
Ho 0.000 0.500 0.500  0.03
Tm 0.000 0.000 0.500  0.08
S 0.255 0.509 0.264  -0.01
S 0.745 0.491 0.736  -0.01
S 0.755 0.510 0.264  -0.01
S 0.245 0.490 0.736  -0.01
S 0.755 0.009 0.264  -0.01
S 0.245 0.991 0.736  -0.01
S 0.254 0.009 0.264  -0.01
S 0.746 0.991 0.736  -0.01